No. 1
# PBE-GGA LaBe2P2, optimized geometry
data_LaBe2P2
_cell_length_a 3.652
_cell_length_b 3.652
_cell_length_c 11.946
_cell_angle_alpha 90.00
_cell_angle_beta 90.00
_cell_angle_gamma 90.00
_symmetry_space_group_name_H-M 'I 4/m m m'
_symmetry_Int_Tables_number 139
_symmetry_space_group_name_Hall '-I 4 2'
loop_
_atom_site_label
_atom_site_type_symbol
_atom_site_fract_x
_atom_site_fract_y
_atom_site_fract_z
La1 La 0.000 0.000 0.000
Be1 Be 0.000 0.500 0.250
P1 P 0.000 0.000 0.357
# Volume in Å³ per cell: 159
# Total moment in μB/f.u.: 0.0
# Density of states at the Fermi level in states/eV/f.u.: 1.71
# E in eV per cell: -54.071

---

No. 2
# PBE-GGA LaBe3P, optimized geometry
data_LaBe3P
_cell_length_a 4.919
_cell_length_b 4.919
_cell_length_c 4.919
_cell_angle_alpha 90.00
_cell_angle_beta 90.00
_cell_angle_gamma 90.00
_symmetry_space_group_name_H-M 'P m -3 m'
_symmetry_Int_Tables_number 221
_symmetry_space_group_name_Hall '-P 4 2 3'
loop_
_atom_site_label
_atom_site_type_symbol
_atom_site_fract_x
_atom_site_fract_y
_atom_site_fract_z
La1 La 0.000 0.000 0.000
Be1 Be 0.000 0.000 0.500
P1 P 0.500 0.500 0.500
# Volume in Å³ per cell: 119
# Total moment in μB/f.u.: 0.0
# Density of states at the Fermi level in states/eV/f.u.: 1.01
# E in eV per cell: -10.467
# ΔE to the lowest computed polymorph in eV/f.u.: 9.21

---

No. 3
# PBE-GGA LaBeP2, optimized geometry
data_LaBeP2
_cell_length_a 9.735
_cell_length_b 3.911
_cell_length_c 4.461
_cell_angle_alpha 90.00
_cell_angle_beta 106.33
_cell_angle_gamma 90.00
_symmetry_space_group_name_H-M 'C 1 m 1'
_symmetry_Int_Tables_number 8
_symmetry_space_group_name_Hall 'C -2y'
loop_
_atom_site_label
_atom_site_type_symbol
_atom_site_fract_x
_atom_site_fract_y
_atom_site_fract_z
La1 La 0.000 0.000 0.000
Be1 Be 0.333 0.000 0.374
P1 P 0.054 0.500 0.564
P2 P 0.242 0.500 0.369
# Volume in Å³ per cell: 163
# Total moment in μB/f.u.: 0.0
# Density of states at the Fermi level in states/eV/f.u.: 2.22
# E in eV per cell: -44.201

---

No. 4
# PBE-GGA LaBeP2, optimized geometry
data_LaBeP2
_cell_length_a 3.970
_cell_length_b 6.220
_cell_length_c 6.346
_cell_angle_alpha 90.00
_cell_angle_beta 90.00
_cell_angle_gamma 90.00
_symmetry_space_group_name_H-M 'C m m m'
_symmetry_Int_Tables_number 65
_symmetry_space_group_name_Hall '-C 2 2'
loop_
_atom_site_label
_atom_site_type_symbol
_atom_site_fract_x
_atom_site_fract_y
_atom_site_fract_z
La1 La 0.000 0.000 0.000
Be1 Be 0.000 0.000 0.500
P1 P 0.000 0.500 0.322
# Volume in Å³ per cell: 157
# Total moment in μB/f.u.: 0.0
# Density of states at the Fermi level in states/eV/f.u.: 1.32
# E in eV per cell: -41.658

---

No. 5
# PBE-GGA LaBeP2, optimized geometry
data_LaBeP2
_cell_length_a 4.0900
_cell_length_b 4.0900
_cell_length_c 14.8422
_cell_angle_alpha 90.00
_cell_angle_beta 90.00
_cell_angle_gamma 120.00
_symmetry_space_group_name_H-M 'R -3 m'
_symmetry_Int_Tables_number 166
_symmetry_space_group_name_Hall '-R 3 2"'
loop_
_atom_site_label
_atom_site_type_symbol
_atom_site_fract_x
_atom_site_fract_y
_atom_site_fract_z
La1 La 0.0000 0.0000 0.0000
Be1 Be 0.0000 0.0000 0.5000
P1 P 0.0000 0.0000 0.2063
# Volume in Å³ per cell: 215
# Total moment in μB/f.u.: 0.0
# Density of states at the Fermi level in states/eV/f.u.: 1.57
# E in eV per cell: -64.871

---

No. 6
# PBE-GGA LaBeP2, optimized geometry
data_LaBeP2
_cell_length_a 3.901
_cell_length_b 5.917
_cell_length_c 6.576
_cell_angle_alpha 90.00
_cell_angle_beta 90.00
_cell_angle_gamma 90.00
_symmetry_space_group_name_H-M 'I m m m'
_symmetry_Int_Tables_number 71
_symmetry_space_group_name_Hall '-I 2 2'
loop_
_atom_site_label
_atom_site_type_symbol
_atom_site_fract_x
_atom_site_fract_y
_atom_site_fract_z
La1 La 0.000 0.000 0.000
Be1 Be 0.000 0.000 0.500
P1 P 0.000 0.500 0.170
# Volume in Å³ per cell: 152
# Total moment in μB/f.u.: 0.0
# Density of states at the Fermi level in states/eV/f.u.: 1.89
# E in eV per cell: -43.611

---

No. 7
# PBE-GGA LaBe3P, optimized geometry
data_LaBe3P
_cell_length_a 4.317
_cell_length_b 4.317
_cell_length_c 4.317
_cell_angle_alpha 90.00
_cell_angle_beta 90.00
_cell_angle_gamma 90.00
_symmetry_space_group_name_H-M 'P m -3 m'
_symmetry_Int_Tables_number 221
_symmetry_space_group_name_Hall '-P 4 2 3'
loop_
_atom_site_label
_atom_site_type_symbol
_atom_site_fract_x
_atom_site_fract_y
_atom_site_fract_z
La1 La 0.000 0.000 0.000
Be1 Be 0.000 0.500 0.500
P1 P 0.500 0.500 0.500
# Volume in Å³ per cell: 80
# Total moment in μB/f.u.: 0.0
# Density of states at the Fermi level in states/eV/f.u.: 1.98
# E in eV per cell: -19.677
# ΔE to the lowest computed polymorph in eV/f.u.: 0.00

---

No. 8
# PBE-GGA LaBeP2, optimized geometry
data_LaBeP2
_cell_length_a 3.707
_cell_length_b 4.276
_cell_length_c 4.943
_cell_angle_alpha 90.00
_cell_angle_beta 90.00
_cell_angle_gamma 90.00
_symmetry_space_group_name_H-M 'P m m m'
_symmetry_Int_Tables_number 47
_symmetry_space_group_name_Hall '-P 2 2'
loop_
_atom_site_label
_atom_site_type_symbol
_atom_site_fract_x
_atom_site_fract_y
_atom_site_fract_z
La1 La 0.000 0.000 0.000
Be1 Be 0.000 0.500 0.500
P1 P 0.500 0.500 0.229
# Volume in Å³ per cell: 78
# Total moment in μB/f.u.: 0.0
# Density of states at the Fermi level in states/eV/f.u.: 1.34
# E in eV per cell: -21.991

---

No. 9
# PBE-GGA LaBeP2, optimized geometry
data_LaBeP2
_cell_length_a 6.779
_cell_length_b 6.779
_cell_length_c 6.760
_cell_angle_alpha 90.00
_cell_angle_beta 90.00
_cell_angle_gamma 90.00
_symmetry_space_group_name_H-M 'I -4 2 d'
_symmetry_Int_Tables_number 122
_symmetry_space_group_name_Hall 'I -4 2bw'
loop_
_atom_site_label
_atom_site_type_symbol
_atom_site_fract_x
_atom_site_fract_y
_atom_site_fract_z
La1 La 0.000 0.000 0.000
Be1 Be 0.000 0.000 0.500
P1 P 0.155 0.250 0.625
# Volume in Å³ per cell: 311
# Total moment in μB/f.u.: 0.0
# Density of states at the Fermi level in states/eV/f.u.: 0.95
# E in eV per cell: -89.397

---

No. 10
# PBE-GGA LaBeP2, optimized geometry
data_LaBeP2
_cell_length_a 3.810
_cell_length_b 4.323
_cell_length_c 9.320
_cell_angle_alpha 90.00
_cell_angle_beta 90.00
_cell_angle_gamma 90.00
_symmetry_space_group_name_H-M 'I m m 2'
_symmetry_Int_Tables_number 44
_symmetry_space_group_name_Hall 'I 2 -2'
loop_
_atom_site_label
_atom_site_type_symbol
_atom_site_fract_x
_atom_site_fract_y
_atom_site_fract_z
La1 La 0.000 0.000 0.000
Be1 Be 0.000 0.500 0.253
P1 P 0.000 0.000 0.646
P2 P 0.000 0.500 0.757
# Volume in Å³ per cell: 154
# Total moment in μB/f.u.: 0.0
# Density of states at the Fermi level in states/eV/f.u.: 2.82
# E in eV per cell: -41.514

---

No. 11
# PBE-GGA LaBeP2, optimized geometry
data_LaBeP2
_cell_length_a 3.444
_cell_length_b 3.444
_cell_length_c 6.047
_cell_angle_alpha 90.00
_cell_angle_beta 90.00
_cell_angle_gamma 90.00
_symmetry_space_group_name_H-M 'P 4 m m'
_symmetry_Int_Tables_number 99
_symmetry_space_group_name_Hall 'P 4 -2'
loop_
_atom_site_label
_atom_site_type_symbol
_atom_site_fract_x
_atom_site_fract_y
_atom_site_fract_z
La1 La 0.000 0.000 0.000
Be1 Be 0.500 0.500 0.642
P1 P 0.000 0.000 0.510
P2 P 0.500 0.500 0.301
# Volume in Å³ per cell: 72
# Total moment in μB/f.u.: 0.0
# Density of states at the Fermi level in states/eV/f.u.: 2.86
# E in eV per cell: -20.067

---

No. 12
# PBE-GGA LaBeP2, optimized geometry
data_LaBeP2
_cell_length_a 4.018
_cell_length_b 4.018
_cell_length_c 9.454
_cell_angle_alpha 90.00
_cell_angle_beta 90.00
_cell_angle_gamma 90.00
_symmetry_space_group_name_H-M 'I -4 m 2'
_symmetry_Int_Tables_number 119
_symmetry_space_group_name_Hall 'I -4 -2'
loop_
_atom_site_label
_atom_site_type_symbol
_atom_site_fract_x
_atom_site_fract_y
_atom_site_fract_z
La1 La 0.000 0.000 0.000
Be1 Be 0.000 0.500 0.250
P1 P 0.000 0.000 0.500
P2 P 0.000 0.500 0.750
# Volume in Å³ per cell: 153
# Total moment in μB/f.u.: 0.0
# Density of states at the Fermi level in states/eV/f.u.: 2.55
# E in eV per cell: -40.021

---

No. 13
# PBE-GGA LaBeP2, optimized geometry
data_LaBeP2
_cell_length_a 4.182
_cell_length_b 4.398
_cell_length_c 4.427
_cell_angle_alpha 90.00
_cell_angle_beta 90.00
_cell_angle_gamma 90.00
_symmetry_space_group_name_H-M 'P 1 m 1'
_symmetry_Int_Tables_number 6
_symmetry_space_group_name_Hall 'P -2y'
loop_
_atom_site_label
_atom_site_type_symbol
_atom_site_fract_x
_atom_site_fract_y
_atom_site_fract_z
La1 La 0.000 0.000 0.000
Be1 Be 0.498 0.500 0.565
P1 P 0.500 0.000 0.492
P2 P 0.500 0.500 0.054
# Volume in Å³ per cell: 81
# Total moment in μB/f.u.: 0.0
# Density of states at the Fermi level in states/eV/f.u.: 1.93
# E in eV per cell: -21.883